An optimized crystal structure of ZnIn3Tc, computed with PBE.

Values from the calculation:
The crystal system is cubic. As for the calculated total energy: -3.554 eV/atom. For the formation energy, the calculation gives 0.42 eV/atom.

Cell lengths 5.2292, 5.2292, 5.2292 Å; angles 90.00, 90.00, 90.00 degrees
Space group Pm-3m (No. 221)
One atom of each set of equivalent atoms:
Zn: 0.0000 0.0000 0.0000 x1
In: 0.0000 0.5000 0.5000 x3
Tc: 0.5000 0.5000 0.5000 x1